# 1
This record from Alexandria via LeMat-Bulk describes La2SnPd3 after structural relaxation. The functional is PBE.

Cell and atoms, written as extended XYZ:
```
12
Lattice="-1.374 3.000 -3.263 -3.082 -2.851 1.977 -2.821 10.677 11.003" Properties=species:S:1:pos:R:3 pbc="T T T"
Pd -4.629 7.107 8.482
La -1.746 6.607 6.809
Pd -3.911 4.390 5.683
Pd -2.525 -0.854 0.279
Sn -4.059 9.057 6.736
Pd -3.367 6.435 4.033
La -0.335 1.269 1.307
La -1.075 4.070 4.194
Pd -2.649 3.719 1.234
Pd -4.752 11.679 9.438
Sn -3.218 1.768 2.981
La -2.486 9.409 9.696
```

Properties
E = -68.5 eV per cell
energy relative to the elements = -799 meV per atom
total moment = 0.00 μB per formula unit

# 2
This record from Alexandria via LeMat-Bulk describes MgTaGe2W after structural relaxation. The functional is PBE.

Cell and atoms, written as extended XYZ:
```
5
Lattice="4.554 0.000 0.000 0.000 4.999 0.000 0.000 0.000 4.554" Properties=species:S:1:pos:R:3 pbc="T T T"
Ta 0.000 2.499 0.000
Mg 0.000 0.000 0.000
Ge 0.000 0.000 2.277
W 2.277 2.499 2.277
Ge 2.277 0.000 0.000
```

Properties
E = -25.9 eV per cell
energy relative to the elements = 1938 meV per atom
total moment = 0.00 μB per formula unit

# 3
This record from Alexandria via LeMat-Bulk describes XeIF7 after structural relaxation. The functional is PBE.

Cell and atoms, written as extended XYZ:
```
18
Lattice="-3.914 3.914 5.638 3.914 -3.914 5.638 3.914 3.914 -5.638" Properties=species:S:1:pos:R:3 pbc="T T T"
Xe 3.914 0.000 0.000
I 0.000 0.000 3.251
F 1.948 -0.710 5.638
Xe 0.000 3.914 0.000
F 2.071 3.444 2.689
F -0.469 1.843 2.950
I 0.000 0.000 8.026
F 1.843 0.469 2.949
F 1.966 4.623 0.000
F 4.383 2.071 -2.689
F 1.843 0.469 8.327
F 0.000 0.000 9.898
F 0.710 1.948 5.638
F 0.000 0.000 1.378
F 2.071 3.444 -2.689
F 4.383 2.071 2.689
F 3.204 1.966 0.000
F -0.469 1.843 8.327
```

Properties
E = -51.9 eV per cell
total moment = 0.00 μB per formula unit
uncorrected formation energy = -1.252 eV/atom

# 4
This record from Alexandria via LeMat-Bulk describes PrHfSn2 after structural relaxation. The functional is PBE.

Cell and atoms, written as extended XYZ:
```
4
Lattice="-2.335 -2.382 0.040 -1.010 -1.297 2.903 -9.283 6.791 1.723" Properties=species:S:1:pos:R:3 pbc="T T T"
Sn -6.958 4.509 1.512
Sn -5.668 -1.398 3.154
Hf -6.313 1.556 2.333
Pr 0.000 0.000 0.000
```

Properties
E = -22.8 eV per cell
energy relative to the elements = -10 meV per atom
total moment = 0.00 μB per formula unit

# 5
This record from Alexandria via LeMat-Bulk describes MnPRu2 after structural relaxation. The functional is PBE.

Cell and atoms, written as extended XYZ:
```
4
Lattice="-1.412 2.131 4.388 1.412 -2.131 4.388 1.412 2.131 -4.388" Properties=species:S:1:pos:R:3 pbc="T T T"
Ru 0.000 0.000 2.553
Mn 1.412 0.000 0.000
Ru 0.000 0.000 6.223
P 0.000 2.131 0.000
```

Properties
E = -33.8 eV per cell
energy relative to the elements = -164 meV per atom
total moment = 2.36 μB per formula unit

# 6
This record from Alexandria via LeMat-Bulk describes Na2AgCl after structural relaxation. The functional is PBE.

Cell and atoms, written as extended XYZ:
```
4
Lattice="3.484 0.000 0.000 0.000 3.484 0.000 0.000 0.000 7.349" Properties=species:S:1:pos:R:3 pbc="T T T"
Cl 1.742 1.742 0.000
Ag 1.742 1.742 3.675
Na 0.000 0.000 1.686
Na 0.000 0.000 5.663
```

Properties
E = -10.4 eV per cell
total moment = 0.00 μB per formula unit
uncorrected formation energy = -0.760 eV/atom